1.
! Sr2BiF (PBE, optimized geometry); values from VASP
! Total magnetization   0.0 μB per formula unit
! Formation energy from raw total energies   -1885 meV/atom
&SYSTEM
  ibrav = 0, nat = 16, ntyp = 3
/
ATOMIC_SPECIES
Sr 87.62 Sr.upf
F 19.00 F.upf
Bi 208.98 Bi.upf
CELL_PARAMETERS angstrom
6.435 0.000 0.000
0.000 6.805 0.167
0.000 -0.693 14.048
ATOMIC_POSITIONS crystal
Sr 0.747 0.421 0.091
F 0.176 0.921 0.940
Sr 0.253 0.579 0.909
Sr 0.174 0.996 0.117
Sr 0.747 0.079 0.409
F 0.824 0.421 0.440
Bi 0.752 0.997 0.642
F 0.824 0.079 0.060
Sr 0.826 0.496 0.617
Bi 0.752 0.503 0.858
Bi 0.248 0.003 0.358
Sr 0.253 0.921 0.591
Sr 0.174 0.504 0.383
F 0.176 0.579 0.560
Sr 0.826 0.004 0.883
Bi 0.248 0.497 0.142

=====

2.
! NaCeMgTl (PBE, optimized geometry); values from VASP
! Total magnetization   1.1 μB per formula unit
! Energy relative to the elements   -0.1 eV/f.u.
&SYSTEM
  ibrav = 0, nat = 4, ntyp = 4
/
ATOMIC_SPECIES
Ce 140.12 Ce.upf
Na 22.99 Na.upf
Tl 204.38 Tl.upf
Mg 24.30 Mg.upf
CELL_PARAMETERS angstrom
-5.107 1.456 0.921
-3.359 -3.390 2.505
-1.638 1.052 5.026
ATOMIC_POSITIONS crystal
Ce 0.250 0.250 0.250
Na 0.750 0.750 0.750
Tl 0.000 0.000 0.000
Mg 0.500 0.500 0.500

=====

3.
! BaSc3Cd (PBE, optimized geometry); values from VASP
! Total magnetization   0.0 μB per formula unit
! Energy relative to the elements   1.8 eV/f.u.
&SYSTEM
  ibrav = 0, nat = 5, ntyp = 3
/
ATOMIC_SPECIES
Sc 44.96 Sc.upf
Ba 137.33 Ba.upf
Cd 112.41 Cd.upf
CELL_PARAMETERS angstrom
5.501 0.000 0.000
0.000 5.501 0.000
0.000 0.000 5.501
ATOMIC_POSITIONS crystal
Sc 0.500 0.000 0.000
Sc 0.000 0.500 0.000
Ba 0.500 0.500 0.500
Sc 0.000 0.000 0.500
Cd 0.000 0.000 0.000

=====

4.
! PuAgTe2 (PBE, optimized geometry); values from VASP
! Total magnetization   5.0 μB per formula unit
! Formation energy from raw total energies   -587 meV/atom
&SYSTEM
  ibrav = 0, nat = 16, ntyp = 3
/
ATOMIC_SPECIES
Te 127.60 Te.upf
Ag 107.87 Ag.upf
Pu 244.00 Pu.upf
CELL_PARAMETERS angstrom
5.527 0.000 -0.400
0.000 6.257 0.000
0.921 0.000 12.395
ATOMIC_POSITIONS crystal
Te 0.751 0.095 0.700
Ag 0.251 0.436 0.304
Pu 0.751 0.200 0.429
Te 0.751 0.405 0.200
Te 0.249 0.905 0.300
Pu 0.249 0.700 0.071
Ag 0.749 0.564 0.696
Te 0.749 0.699 0.476
Te 0.251 0.199 0.024
Te 0.251 0.301 0.524
Ag 0.749 0.936 0.196
Ag 0.251 0.064 0.804
Pu 0.249 0.800 0.571
Pu 0.751 0.300 0.929
Te 0.749 0.801 0.976
Te 0.249 0.595 0.800